1) The following is a PBE calculation of a relaxed KTaSbTe2 crystal, from Alexandria.

Computed properties:
The calculation puts the density at 5.565 g/cm³. The space group is P4/mmm, No. 123. The spin magnetization comes out at 0.2 μB/f.u. The density of states at the Fermi level is 1.74 states/eV per atom.

a b c (Å): 5.7037 5.7037 5.4759
angles (deg): 90.00 90.00 90.00
With the nearest neighbours (Å) after each atom.
Fractional positions:
Sb (0.0000, 0.0000, 0.5000)  2 K 2.74
Te (0.5000, 0.0000, 0.0000)  2 K 2.85
K (0.0000, 0.0000, 0.0000)  2 Sb 2.74, 4 Te 2.85
Te (0.0000, 0.5000, 0.0000)  2 K 2.85
Ta (0.5000, 0.5000, 0.5000)  8 Te 3.95, 4 Sb 4.03



2) The following is a PBE calculation of a relaxed KTaSbTe2 crystal, from Alexandria.

Computed properties:
The calculation puts the density at 5.937 g/cm³. The space group is P4/mmm, No. 123. The spin magnetization comes out at 0.0 μB/f.u. The density of states at the Fermi level is 0.18 states/eV per atom.

a b c (Å): 5.5212 5.5212 5.4773
angles (deg): 90.00 90.00 90.00
With the nearest neighbours (Å) after each atom.
Fractional positions:
Ta (0.0000, 0.0000, 0.0000)  2 Sb 2.74, 4 Te 2.76
Te (0.0000, 0.5000, 0.0000)  2 Ta 2.76
K (0.5000, 0.5000, 0.5000)  8 Te 3.89, 4 Sb 3.90
Te (0.5000, 0.0000, 0.0000)  2 Ta 2.76
Sb (0.0000, 0.0000, 0.5000)  2 Ta 2.74



Going by the energies, 2) is most stable and the next is 203.5 kJ/mol of atoms up.



1) The following is a PBE calculation of a relaxed KTcSb3 crystal, from Alexandria.

Computed properties:
The calculation puts the density at 5.023 g/cm³. The space group is Pm-3m, No. 221. The spin magnetization comes out at 0.0 μB/f.u. The density of states at the Fermi level is 3.10 states/eV per atom.

a b c (Å): 5.4969 5.4969 5.4969
angles (deg): 90.00 90.00 90.00
With the nearest neighbours (Å) after each atom.
Fractional positions:
Sb (0.0000, 0.0000, 0.5000)  2 K 2.75
Sb (0.0000, 0.5000, 0.0000)  2 K 2.75
Tc (0.5000, 0.5000, 0.5000)  12 Sb 3.89
Sb (0.5000, 0.0000, 0.0000)  2 K 2.75
K (0.0000, 0.0000, 0.0000)  6 Sb 2.75



2) The following is a PBE calculation of a relaxed KTcSb3 crystal, from Alexandria.

Computed properties:
The calculation puts the density at 5.543 g/cm³. The space group is Pm-3m, No. 221. The spin magnetization comes out at 1.1 μB/f.u. The density of states at the Fermi level is 0.57 states/eV per atom.

a b c (Å): 5.3191 5.3191 5.3191
angles (deg): 90.00 90.00 90.00
With the nearest neighbours (Å) after each atom.
Fractional positions:
Tc (0.0000, 0.0000, 0.0000)  6 Sb 2.66
Sb (0.0000, 0.5000, 0.0000)  2 Tc 2.66
Sb (0.0000, 0.0000, 0.5000)  2 Tc 2.66
Sb (0.5000, 0.0000, 0.0000)  2 Tc 2.66
K (0.5000, 0.5000, 0.5000)  12 Sb 3.76



Going by the energies, 2) is most stable and the next is 198.6 kJ/mol of atoms up.